[1]
The following is a DFT calculation (GGA-PBE) of BaGa3Ir after structural relaxation.

## Properties
As for the spin magnetization: 0.0 μB/cell. As for the energy: -4.182 eV/atom. The energy of formation from the pure elements comes out at -209 meV/atom. Its space-group type is P6_3/mmc, No. 194.

POSCAR file:
```
BaGa3Ir
1.0
4.286 -2.474 0.000
0.000 4.949 0.000
0.000 0.000 9.845
Ba Ga Ir
2 6 2
direct
0.667 0.333 0.250
0.333 0.667 0.750
0.333 0.667 0.075
0.333 0.667 0.425
0.667 0.333 0.575
0.000 0.000 0.250
0.667 0.333 0.925
0.000 0.000 0.750
0.000 0.000 0.000
0.000 0.000 0.500
```



[2]
The following is a DFT calculation (GGA-PBE) of BaGa3Ir after structural relaxation.

## Properties
As for the spin magnetization: 1.6 μB/cell. As for the energy: -4.209 eV/atom. The energy of formation from the pure elements comes out at -236 meV/atom. Its space-group type is Fd-3m, No. 227.

POSCAR file:
```
BaGa3Ir
1.0
0.000 6.707 6.707
6.707 0.000 6.707
6.707 6.707 0.000
Ga Ir Ba
12 4 4
direct
0.584 0.916 0.584
0.666 0.666 0.334
0.916 0.916 0.584
0.584 0.584 0.916
0.334 0.666 0.334
0.334 0.334 0.666
0.916 0.584 0.916
0.916 0.584 0.584
0.666 0.334 0.666
0.584 0.916 0.916
0.666 0.334 0.334
0.334 0.666 0.666
0.625 0.125 0.625
0.125 0.625 0.625
0.625 0.625 0.125
0.625 0.625 0.625
0.125 0.125 0.125
0.625 0.125 0.125
0.125 0.625 0.125
0.125 0.125 0.625
```



[3]
The following is a DFT calculation (GGA-PBE) of BaGa3Ir after structural relaxation.

## Properties
As for the spin magnetization: 0.0 μB/cell. As for the energy: -4.062 eV/atom. The energy of formation from the pure elements comes out at -89 meV/atom. Its space-group type is Cmcm, No. 63.

POSCAR file:
```
BaGa3Ir
1.0
2.159 6.012 6.433
-3.610 -8.007 -2.246
4.987 -2.411 0.580
Ga Ir Ba
6 2 2
direct
0.629 0.858 0.250
0.858 0.629 0.750
0.142 0.371 0.250
0.000 0.000 0.500
0.000 0.000 0.000
0.371 0.142 0.750
0.519 0.481 0.250
0.481 0.519 0.750
0.813 0.187 0.750
0.187 0.813 0.250
```



[4]
The following is a DFT calculation (GGA-PBE) of Ba2GaIr2 after structural relaxation.

## Properties
As for the spin magnetization: 0.0 μB/cell. As for the energy: -5.006 eV/atom. The energy of formation from the pure elements comes out at -87 meV/atom. Its space-group type is P4/mbm, No. 127.

POSCAR file:
```
Ba2GaIr2
1.0
-1.798 -6.549 1.374
1.909 0.861 6.605
-4.816 1.571 1.187
Ba Ir Ga
4 4 2
direct
0.681 0.819 0.500
0.319 0.181 0.500
0.819 0.319 0.500
0.181 0.681 0.500
0.629 0.129 0.000
0.871 0.629 0.000
0.371 0.871 0.000
0.129 0.371 0.000
0.500 0.500 0.000
0.000 0.000 0.000
```